Below is an optimized crystal structure of Ho20In40Rh19, with properties calculated at the PBE level.

Summary:
- Raw total energy: -4.921 eV/atom
- Energy of formation from the pure elements: -0.607 eV per atom

Cell lengths 13.536, 13.536, 9.366 Å; angles 90.00, 90.00, 90.00 degrees
Sites, in units of the cell vectors:
Ho: 0.000 0.223 0.263
Ho: 0.000 0.500 0.343
Ho: 0.000 0.500 0.862
Ho: 0.000 0.777 0.263
Ho: 0.206 0.299 0.765
Ho: 0.206 0.701 0.765
Ho: 0.223 0.000 0.737
Ho: 0.276 0.500 0.268
Ho: 0.299 0.206 0.235
Ho: 0.299 0.794 0.235
Ho: 0.500 0.000 0.138
Ho: 0.500 0.000 0.657
Ho: 0.500 0.276 0.732
Ho: 0.500 0.724 0.732
Ho: 0.701 0.206 0.235
Ho: 0.701 0.794 0.235
Ho: 0.724 0.500 0.268
Ho: 0.777 0.000 0.737
Ho: 0.794 0.299 0.765
Ho: 0.794 0.701 0.765
In: 0.000 0.114 0.743
In: 0.000 0.330 0.597
In: 0.000 0.670 0.597
In: 0.000 0.886 0.743
In: 0.114 0.000 0.257
In: 0.131 0.370 0.093
In: 0.131 0.630 0.093
In: 0.142 0.142 0.000
In: 0.142 0.858 0.000
In: 0.149 0.149 0.500
In: 0.149 0.851 0.500
In: 0.169 0.500 0.597
In: 0.330 0.000 0.403
In: 0.350 0.350 0.500
In: 0.350 0.650 0.500
In: 0.370 0.131 0.907
In: 0.370 0.370 0.000
In: 0.370 0.630 0.000
In: 0.370 0.869 0.907
In: 0.387 0.500 0.740
In: 0.500 0.169 0.403
In: 0.500 0.387 0.260
In: 0.500 0.613 0.260
In: 0.500 0.831 0.403
In: 0.613 0.500 0.740
In: 0.630 0.131 0.907
In: 0.630 0.370 0.000
In: 0.630 0.630 0.000
In: 0.630 0.869 0.907
In: 0.650 0.350 0.500
In: 0.650 0.650 0.500
In: 0.670 0.000 0.403
In: 0.831 0.500 0.597
In: 0.851 0.149 0.500
In: 0.851 0.851 0.500
In: 0.858 0.142 0.000
In: 0.858 0.858 0.000
In: 0.869 0.370 0.093
In: 0.869 0.630 0.093
In: 0.886 0.000 0.257
Rh: 0.000 0.000 0.000
Rh: 0.000 0.000 0.500
Rh: 0.000 0.281 0.902
Rh: 0.000 0.719 0.902
Rh: 0.157 0.342 0.396
Rh: 0.157 0.658 0.396
Rh: 0.222 0.500 0.904
Rh: 0.281 0.000 0.098
Rh: 0.342 0.157 0.604
Rh: 0.342 0.843 0.604
Rh: 0.500 0.222 0.096
Rh: 0.500 0.500 0.500
Rh: 0.500 0.778 0.096
Rh: 0.658 0.157 0.604
Rh: 0.658 0.843 0.604
Rh: 0.719 0.000 0.098
Rh: 0.778 0.500 0.904
Rh: 0.843 0.342 0.396
Rh: 0.843 0.658 0.396

Below is an optimized crystal structure of CuH6BrN2, with properties calculated at the PBE level.

Summary:
- Energy above the lowest structure with this stoichiometry: 0.000 eV/atom
- Raw total energy: -4.681 eV/atom

Cell lengths 7.319, 7.319, 5.651 Å; angles 100.49, 100.49, 122.50 degrees
Sites, in units of the cell vectors:
Cu: 0.000 0.000 0.000
Cu: 0.000 0.000 0.500
H: 0.078 0.707 0.903
H: 0.144 0.391 0.988
H: 0.176 0.394 0.288
H: 0.293 0.922 0.597
H: 0.391 0.144 0.488
H: 0.394 0.176 0.788
H: 0.606 0.824 0.212
H: 0.609 0.856 0.512
H: 0.707 0.078 0.403
H: 0.824 0.606 0.712
H: 0.856 0.609 0.012
H: 0.922 0.293 0.097
Br: 0.358 0.642 0.750
Br: 0.642 0.358 0.250
N: 0.066 0.298 0.101
N: 0.298 0.066 0.601
N: 0.702 0.934 0.399
N: 0.934 0.702 0.899

Below is an optimized crystal structure of MgAsSe3, with properties calculated at the PBE level.

Summary:
- Raw total energy: -3.768 eV/atom
- Formation energy from raw total energies: -0.43 eV per atom

Cell lengths 6.417, 4.369, 11.417 Å; angles 90.00, 97.10, 90.00 degrees
Sites, in units of the cell vectors:
Mg: 0.035 0.250 0.295
Mg: 0.965 0.750 0.705
As: 0.384 0.250 0.788
As: 0.616 0.750 0.212
Se: 0.142 0.250 0.608
Se: 0.270 0.750 0.278
Se: 0.297 0.750 0.879
Se: 0.703 0.250 0.121
Se: 0.730 0.250 0.722
Se: 0.858 0.750 0.392

Below is an optimized crystal structure of Zn2AsRh4, with properties calculated at the PBE level.

Summary:
- Raw total energy: -5.441 eV/atom
- Energy of formation from the pure elements: -0.212 eV per atom

Cell lengths 5.143, 5.143, 5.143 Å; angles 108.95, 108.95, 110.52 degrees
Sites, in units of the cell vectors:
Zn: 0.000 0.500 0.500
Zn: 0.500 0.000 0.500
As: 0.000 0.000 0.000
Rh: 0.000 0.000 0.500
Rh: 0.000 0.500 0.000
Rh: 0.500 0.000 0.000
Rh: 0.500 0.500 0.500

Below is an optimized crystal structure of SrPu2FeN4, with properties calculated at the PBE level.

Summary:
- Raw total energy: -9.942 eV/atom
- Formation energy from raw total energies: -0.93 eV per atom

Cell lengths 6.050, 6.050, 11.591 Å; angles 90.00, 90.00, 146.80 degrees
Sites, in units of the cell vectors:
Sr: 0.090 0.910 0.750
Sr: 0.910 0.090 0.250
Pu: 0.368 0.632 0.552
Pu: 0.368 0.632 0.948
Pu: 0.632 0.368 0.052
Pu: 0.632 0.368 0.448
Fe: 0.178 0.822 0.250
Fe: 0.822 0.178 0.750
N: 0.000 0.000 0.000
N: 0.000 0.000 0.500
N: 0.253 0.747 0.108
N: 0.253 0.747 0.392
N: 0.404 0.596 0.750
N: 0.596 0.404 0.250
N: 0.747 0.253 0.608
N: 0.747 0.253 0.892

Below is an optimized crystal structure of YAl2Bi2, with properties calculated at the PBE level.

Summary:
- Energy above the lowest structure with this stoichiometry: 0.002 eV/atom
- Raw total energy: -4.427 eV/atom
- Energy of formation from the pure elements: -0.085 eV per atom

Cell lengths 8.682, 8.682, 8.682 Å; angles 152.96, 152.96, 38.61 degrees
Sites, in units of the cell vectors:
Y: 0.000 0.000 0.000
Al: 0.250 0.750 0.500
Al: 0.750 0.250 0.500
Bi: 0.399 0.399 0.000
Bi: 0.601 0.601 0.000

Below is an optimized crystal structure of Rb2H6RhAu, with properties calculated at the PBE level.

Summary:
- Raw total energy: -3.437 eV/atom

Cell lengths 6.339, 6.339, 6.339 Å; angles 132.32, 132.32, 69.72 degrees
Sites, in units of the cell vectors:
Rb: 0.250 0.750 0.500
Rb: 0.750 0.250 0.500
H: 0.161 0.161 0.000
H: 0.245 0.245 0.490
H: 0.245 0.755 0.000
H: 0.755 0.245 0.000
H: 0.755 0.755 0.510
H: 0.839 0.839 0.000
Rh: 0.000 0.000 0.000
Au: 0.500 0.500 0.000

Below is an optimized crystal structure of Tb4HoTe7, with properties calculated at the PBE level.

Summary:
- Raw total energy: -5.137 eV/atom
- Formation energy from raw total energies: -1.38 eV per atom

Cell lengths 7.469, 7.469, 13.192 Å; angles 103.59, 103.59, 33.03 degrees
Sites, in units of the cell vectors:
Tb: 0.000 0.000 0.000
Tb: 0.184 0.184 0.763
Tb: 0.586 0.586 0.389
Tb: 0.885 0.885 0.575
Ho: 0.770 0.770 0.152
Te: 0.144 0.144 0.225
Te: 0.224 0.224 0.528
Te: 0.384 0.384 0.076
Te: 0.546 0.546 0.624
Te: 0.628 0.628 0.927
Te: 0.847 0.847 0.792
Te: 0.922 0.922 0.358

Below is an optimized crystal structure of MnSbSe4, with properties calculated at the PBE level.

Summary:
- Energy above the lowest structure with this stoichiometry: 0.000 eV/atom
- Raw total energy: -4.858 eV/atom
- Formation energy from raw total energies: -0.32 eV per atom

Cell lengths 6.851, 6.851, 6.566 Å; angles 98.27, 98.27, 31.56 degrees
Sites, in units of the cell vectors:
Mn: 0.000 0.000 0.000
Sb: 0.500 0.500 0.500
Se: 0.117 0.117 0.332
Se: 0.392 0.392 0.109
Se: 0.608 0.608 0.891
Se: 0.883 0.883 0.668

Below is an optimized crystal structure of Li2CuP, with properties calculated at the PBE level.

Summary:
- Raw total energy: -3.617 eV/atom
- Energy of formation from the pure elements: -0.283 eV per atom

Cell lengths 2.646, 3.908, 4.955 Å; angles 90.00, 90.08, 90.00 degrees
Sites, in units of the cell vectors:
Li: 0.000 0.000 0.237
Li: 0.000 0.000 0.763
Cu: 0.500 0.500 0.500
P: 0.500 0.500 0.000

Below is an optimized crystal structure of BaSr, with properties calculated at the PBE level.

Summary:
- Energy above the lowest structure with this stoichiometry: 0.002 eV/atom
- Raw total energy: -1.801 eV/atom
- Energy of formation from the pure elements: 0.002 eV per atom

Cell lengths 4.221, 6.919, 8.062 Å; angles 90.00, 99.82, 90.00 degrees
Sites, in units of the cell vectors:
Ba: 0.122 0.250 0.373
Ba: 0.878 0.750 0.627
Sr: 0.382 0.750 0.124
Sr: 0.618 0.250 0.876

Below is an optimized crystal structure of USiPbO6, with properties calculated at the PBE level.

Summary:
- Raw total energy: -7.995 eV/atom
- Formation energy from raw total energies: -2.42 eV per atom

Cell lengths 5.278, 5.278, 5.413 Å; angles 90.00, 90.00, 120.00 degrees
Sites, in units of the cell vectors:
U: 0.000 0.000 0.000
Si: 0.333 0.667 0.000
Pb: 0.667 0.333 0.500
O: 0.061 0.372 0.192
O: 0.061 0.689 0.808
O: 0.311 0.372 0.808
O: 0.311 0.939 0.192
O: 0.628 0.689 0.192
O: 0.628 0.939 0.808